# 1
The following is a PBE calculation of a geometry-optimized La3Tb7Dy2 structure, from the Alexandria database.

extended XYZ file:
```
12
Lattice="3.2857 1.8970 11.4034 -3.2857 1.8970 11.4034 0.0000 -3.7940 11.4034" Properties=species:S:1:pos:R:3 pbc="T T T"
La 0.0000 0.0000 0.0000
La 0.0000 0.0000 5.3084
La 0.0000 0.0000 28.9017
Tb -1.6464 -0.9505 14.2581
Tb 0.0000 -1.9011 19.9520
Tb -1.6464 0.9505 19.9520
Tb 0.0000 0.0000 17.1051
Tb 1.6464 -0.9505 14.2581
Tb 0.0000 1.9011 14.2581
Tb 1.6464 0.9505 19.9520
Dy 0.0000 0.0000 11.4041
Dy 0.0000 0.0000 22.8060
```

Computed properties:
* crystal system: trigonal
* total magnetization: 0.000 μB/cell
* energy relative to the elements: 0.2688 eV per atom
* space group: No. 166
* Fermi-level density of states: 20.08 states/eV/f.u.

---

# 2
The following is a PBE calculation of a geometry-optimized LaTb3Dy3 structure, from the Alexandria database.

extended XYZ file:
```
28
Lattice="7.6238 -7.5345 0.0000 7.6238 7.5345 0.0000 -0.0751 0.0000 8.3066" Properties=species:S:1:pos:R:3 pbc="T T T"
La 0.0000 0.0000 0.0000
La 2.1646 0.0000 5.6029
La 4.8802 1.7763 6.6274
La 4.8802 -1.7763 6.6274
Tb 6.7217 4.2746 5.2594
Tb 4.5703 1.7499 2.9875
Tb 4.5703 -1.7499 2.9875
Tb 10.2121 3.7397 0.7992
Tb 8.4628 1.6603 6.7711
Tb 9.9928 0.0000 1.1274
Tb 8.4628 -1.6603 6.7711
Tb 12.6654 1.7957 2.4736
Tb 6.7217 -4.2746 5.2594
Tb 10.2121 -3.7397 0.7992
Tb 13.9996 0.0000 4.9463
Tb 12.6654 -1.7957 2.4736
Dy 8.5375 5.7749 2.8723
Dy 6.6968 3.5872 0.6609
Dy 7.9883 1.7963 3.3161
Dy 6.6430 0.0000 0.7955
Dy 10.5102 3.5717 4.7288
Dy 7.9883 -1.7963 3.3161
Dy 6.6968 -3.5872 0.6609
Dy 12.0713 1.7309 7.3012
Dy 10.6393 0.0000 4.6351
Dy 12.0713 -1.7309 7.3012
Dy 10.5102 -3.5717 4.7288
Dy 8.5375 -5.7749 2.8723
```

Computed properties:
* crystal system: monoclinic
* total magnetization: 0.000 μB/cell
* energy relative to the elements: 0.1792 eV per atom
* space group: No. 8
* E above lowest polymorph: 158.9 meV per atom
* Fermi-level density of states: 11.38 states/eV/f.u.

---

# 3
The following is a PBE calculation of a geometry-optimized La7Tb16Dy6 structure, from the Alexandria database.

extended XYZ file:
```
29
Lattice="0.0000 8.0105 8.0105 8.0105 0.0000 8.0105 8.0105 8.0105 0.0000" Properties=species:S:1:pos:R:3 pbc="T T T"
La 0.0000 0.0000 0.0000
La 4.0052 4.0052 0.0000
La 4.0052 0.0000 4.0052
La 8.0105 4.0052 4.0052
La 0.0000 4.0052 4.0052
La 4.0052 8.0105 4.0052
La 4.0052 4.0052 8.0105
Tb 10.4260 5.5949 5.5949
Tb 2.0836 2.0836 2.0836
Tb 5.9268 5.9268 2.0836
Tb 5.9268 2.0836 5.9268
Tb 5.5949 5.5949 5.5949
Tb 10.4260 10.4260 5.5949
Tb 10.4260 5.5949 10.4260
Tb 13.9373 10.0941 10.0941
Tb 2.0836 5.9268 5.9268
Tb 5.5949 10.4260 5.5949
Tb 5.5949 5.5949 10.4260
Tb 10.4260 10.4260 10.4260
Tb 10.0941 13.9373 10.0941
Tb 10.0941 10.0941 13.9373
Tb 13.9373 13.9373 13.9373
Tb 5.5949 10.4260 10.4260
Dy 8.0105 8.0105 4.0493
Dy 8.0105 4.0493 8.0105
Dy 11.9716 8.0105 8.0105
Dy 4.0493 8.0105 8.0105
Dy 8.0105 11.9716 8.0105
Dy 8.0105 8.0105 11.9716
```

Computed properties:
* crystal system: cubic
* total magnetization: 0.001 μB/cell
* energy relative to the elements: 0.2686 eV per atom
* space group: No. 225
* Fermi-level density of states: 52.75 states/eV/f.u.

---

# 4
The following is a PBE calculation of a geometry-optimized La3Tb5Dy2 structure, from the Alexandria database.

extended XYZ file:
```
20
Lattice="5.4059 -8.1623 0.0000 5.4059 8.1623 0.0000 -5.3882 0.0000 7.7116" Properties=species:S:1:pos:R:3 pbc="T T T"
La 1.2949 2.0661 0.3548
La 1.3648 4.3426 5.7837
La -1.3992 -2.0661 4.2106
La 6.8228 2.0661 3.5010
La 4.0589 -4.3426 1.9279
La 4.1287 -2.0661 7.3568
Tb 1.3648 7.7543 5.7837
Tb -1.3187 1.8390 5.9897
Tb 4.0589 3.6796 1.9279
Tb 1.3754 -1.8390 2.1339
Tb 4.0589 0.4954 1.9279
Tb 1.3648 -0.4954 5.7837
Tb 4.0483 1.8390 5.5776
Tb 1.3648 -3.6796 5.7837
Tb 6.7424 -1.8390 1.7218
Tb 4.0589 -7.7543 1.9279
Dy 1.3064 1.9080 3.5194
Dy -1.3877 -1.9080 7.3752
Dy 6.8114 1.9080 0.3363
Dy 4.1173 -1.9080 4.1921
```

Computed properties:
* crystal system: monoclinic
* total magnetization: 0.000 μB/cell
* energy relative to the elements: 0.1868 eV per atom
* space group: No. 15
* Fermi-level density of states: 17.52 states/eV/f.u.

---

# 5
The following is a PBE calculation of a geometry-optimized LaTbDy2 structure, from the Alexandria database.

extended XYZ file:
```
16
Lattice="8.1186 0.0000 0.0000 0.0000 8.1186 0.0000 0.0000 0.0000 8.1186" Properties=species:S:1:pos:R:3 pbc="T T T"
La 0.0000 0.0000 0.0000
La 0.0000 4.0593 4.0593
La 4.0593 0.0000 4.0593
La 4.0593 4.0593 0.0000
Tb 0.0000 0.0000 4.0593
Tb 0.0000 4.0593 0.0000
Tb 4.0593 0.0000 0.0000
Tb 4.0593 4.0593 4.0593
Dy 2.0297 2.0297 2.0297
Dy 2.0297 2.0297 6.0890
Dy 2.0297 6.0890 2.0297
Dy 2.0297 6.0890 6.0890
Dy 6.0890 2.0297 2.0297
Dy 6.0890 2.0297 6.0890
Dy 6.0890 6.0890 2.0297
Dy 6.0890 6.0890 6.0890
```

Computed properties:
* crystal system: cubic
* total magnetization: 0.002 μB/cell
* energy relative to the elements: 0.1235 eV per atom
* space group: No. 225
* E above lowest polymorph: 104.0 meV per atom
* Fermi-level density of states: 7.95 states/eV/f.u.

---

# 6
The following is a PBE calculation of a geometry-optimized LaTb2Dy structure, from the Alexandria database.

extended XYZ file:
```
12
Lattice="3.6255 0.0000 0.0000 -1.8127 3.1398 0.0000 0.0000 0.0000 34.9106" Properties=species:S:1:pos:R:3 pbc="T T T"
La 0.0000 0.0000 0.0000
La 0.0000 2.0932 23.2737
La 1.8127 1.0466 11.6368
Tb 0.0000 0.0000 14.6187
Tb 0.0000 0.0000 20.3000
Tb 0.0000 2.0932 2.9819
Tb 0.0000 2.0932 8.6631
Tb 1.8127 1.0466 26.2556
Tb 1.8127 1.0466 31.9369
Dy 0.0000 0.0000 29.1147
Dy 0.0000 2.0932 17.4779
Dy 1.8127 1.0466 5.8410
```

Computed properties:
* crystal system: trigonal
* total magnetization: 0.003 μB/cell
* energy relative to the elements: 0.0085 eV per atom
* space group: No. 160
* E above lowest polymorph: 0.0 meV per atom
* Fermi-level density of states: 6.41 states/eV/f.u.